[1]
This record from the Alexandria database describes a relaxed structure of SrC2SeN. The functional is PBE.

Values from the calculation:
- Mass density: 1.92 Mg/m³
- D(E_F): 5.71 states/eV/f.u.

Cell lengths 5.4133, 5.4133, 6.0452 Å; angles 90.00, 90.00, 90.00 degrees
Space group P4/mmm (No. 123)
Asymmetric unit:
Sr  0.0000  0.0000  0.0000 [1 per cell]
C  0.0000  0.5000  0.0000 [2 per cell]
Se  0.0000  0.0000  0.5000 [1 per cell]
N  0.5000  0.5000  0.5000 [1 per cell]


[2]
This record from the Alexandria database describes a relaxed structure of TaCSeN2. The functional is PBE.

Values from the calculation:
- Mass density: 5.94 Mg/m³
- D(E_F): 4.86 states/eV/f.u.
- Energy above the most stable polymorph in this dataset: 0.00 eV per formula unit

Cell lengths 3.9221, 3.9221, 5.4463 Å; angles 90.00, 90.00, 90.00 degrees
Space group P4/mmm (No. 123)
Asymmetric unit:
Ta  0.0000  0.0000  0.0000 [1 per cell]
C  0.5000  0.5000  0.5000 [1 per cell]
Se  0.0000  0.0000  0.5000 [1 per cell]
N  0.0000  0.5000  0.0000 [2 per cell]


[3]
This record from the Alexandria database describes a relaxed structure of TaCSeN2. The functional is PBE.

Values from the calculation:
- Mass density: 9.17 Mg/m³
- D(E_F): 1.37 states/eV/f.u.
- Energy above the most stable polymorph in this dataset: 1.67 eV per formula unit

Cell lengths 3.7391, 3.7391, 3.8829 Å; angles 90.00, 90.00, 90.00 degrees
Space group P4/mmm (No. 123)
Asymmetric unit:
Ta  0.0000  0.0000  0.0000 [1 per cell]
C  0.5000  0.5000  0.5000 [1 per cell]
Se  0.5000  0.5000  0.0000 [1 per cell]
N  0.0000  0.5000  0.5000 [2 per cell]


[4]
This record from the Alexandria database describes a relaxed structure of Tb8C3Se3N. The functional is PBE.

Values from the calculation:
- Mass density: 8.15 Mg/m³
- D(E_F): 6.03 states/eV/f.u.

Cell lengths 7.4568, 7.4568, 19.7689 Å; angles 90.00, 90.00, 120.00 degrees
Space group R-3m (No. 166, hexagonal axes)
Asymmetric unit:
Tb  0.0000  0.0000  0.2350 [6 per cell]
Tb  0.0011  0.5005  0.7660 [18 per cell]
C  0.0000  0.5000  0.5000 [9 per cell]
Se  0.0000  0.5000  0.0000 [9 per cell]
N  0.0000  0.0000  0.5000 [3 per cell]


[5]
This record from the Alexandria database describes a relaxed structure of Tb8CSe4N3. The functional is PBE.

Values from the calculation:
- Mass density: 8.69 Mg/m³
- D(E_F): 4.99 states/eV/f.u.

Cell lengths 7.4360, 7.4360, 19.6488 Å; angles 90.00, 90.00, 120.00 degrees
Space group R-3m (No. 166, hexagonal axes)
Asymmetric unit:
Tb  0.0000  0.0000  0.2333 [6 per cell]
Tb  0.0002  0.5001  0.2340 [18 per cell]
C  0.0000  0.0000  0.5000 [3 per cell]
Se  0.0000  0.0000  0.0000 [3 per cell]
Se  0.0000  0.5000  0.0000 [9 per cell]
N  0.0000  0.5000  0.5000 [9 per cell]


[6]
This record from the Alexandria database describes a relaxed structure of Tb6CSe3N2. The functional is PBE.

Values from the calculation:
- Mass density: 8.64 Mg/m³
- D(E_F): 2.36 states/eV/f.u.

Cell lengths 6.4483, 11.1708, 6.9047 Å; angles 90.00, 108.10, 90.00 degrees
Space group C2/m (No. 12)
Asymmetric unit:
Tb  0.2331  0.0000  0.2015 [4 per cell]
Tb  0.2342  0.3331  0.2021 [8 per cell]
C  0.0000  0.5000  0.0000 [2 per cell]
Se  0.0000  0.0000  0.5000 [2 per cell]
Se  0.0000  0.3339  0.5000 [4 per cell]
N  0.0000  0.1666  0.0000 [4 per cell]


[7]
This record from the Alexandria database describes a relaxed structure of TcCSeN2. The functional is PBE.

Values from the calculation:
- Mass density: 4.76 Mg/m³
- D(E_F): 3.28 states/eV/f.u.
- Energy above the most stable polymorph in this dataset: 0.00 eV per formula unit

Cell lengths 3.7378, 3.7378, 5.4172 Å; angles 90.00, 90.00, 90.00 degrees
Space group P4/mmm (No. 123)
Asymmetric unit:
Tc  0.0000  0.0000  0.0000 [1 per cell]
C  0.5000  0.5000  0.5000 [1 per cell]
Se  0.0000  0.0000  0.5000 [1 per cell]
N  0.0000  0.5000  0.0000 [2 per cell]


[8]
This record from the Alexandria database describes a relaxed structure of TcCSeN2. The functional is PBE.

Values from the calculation:
- Mass density: 6.79 Mg/m³
- D(E_F): 2.64 states/eV/f.u.
- Energy above the most stable polymorph in this dataset: 2.92 eV per formula unit

Cell lengths 3.6628, 3.6628, 3.9530 Å; angles 90.00, 90.00, 90.00 degrees
Space group P4/mmm (No. 123)
Asymmetric unit:
Tc  0.0000  0.0000  0.0000 [1 per cell]
C  0.5000  0.5000  0.5000 [1 per cell]
Se  0.5000  0.5000  0.0000 [1 per cell]
N  0.0000  0.5000  0.5000 [2 per cell]


[9]
This record from the Alexandria database describes a relaxed structure of Th6C3Se2N. The functional is PBE.

Values from the calculation:
- Mass density: 10.35 Mg/m³
- D(E_F): 5.27 states/eV/f.u.

Cell lengths 17.2747, 3.8405, 8.0200 Å; angles 90.00, 105.16, 90.00 degrees
Space group C2/m (No. 12)
Asymmetric unit:
Th  0.0068  0.0000  0.2617 [4 per cell]
Th  0.1517  0.5000  0.1134 [4 per cell]
Th  0.1670  0.5000  0.5563 [4 per cell]
C  0.0000  0.5000  0.0000 [2 per cell]
C  0.1627  0.0000  0.3391 [4 per cell]
Se  0.1704  0.0000  0.8411 [4 per cell]
N  0.0000  0.5000  0.5000 [2 per cell]


[10]
This record from the Alexandria database describes a relaxed structure of Th4C2SeN. The functional is PBE.

Values from the calculation:
- Mass density: 10.50 Mg/m³
- D(E_F): 3.95 states/eV/f.u.

Cell lengths 6.7398, 3.8319, 6.7669 Å; angles 90.00, 108.94, 90.00 degrees
Space group P2/m (No. 10)
Asymmetric unit:
Th  0.2211  0.0000  0.2206 [2 per cell]
Th  0.2367  0.5000  0.7645 [2 per cell]
C  0.0000  0.5000  0.0000 [1 per cell]
C  0.5000  0.0000  0.0000 [1 per cell]
Se  0.5000  0.5000  0.5000 [1 per cell]
N  0.0000  0.0000  0.5000 [1 per cell]


[11]
This record from the Alexandria database describes a relaxed structure of Th8C3Se3N. The functional is PBE.

Values from the calculation:
- Mass density: 10.05 Mg/m³
- D(E_F): 6.24 states/eV/f.u.

Cell lengths 13.2900, 7.6858, 8.2243 Å; angles 90.00, 122.57, 90.00 degrees
Space group C2/m (No. 12)
Asymmetric unit:
Th  0.0166  0.2481  0.2984 [8 per cell]
Th  0.2337  0.0000  0.7014 [4 per cell]
Th  0.2346  0.5000  0.7013 [4 per cell]
C  0.0000  0.0000  0.5000 [2 per cell]
C  0.2500  0.2500  0.5000 [4 per cell]
Se  0.0000  0.5000  0.0000 [2 per cell]
Se  0.2500  0.2500  0.0000 [4 per cell]
N  0.0000  0.5000  0.5000 [2 per cell]


[12]
This record from the Alexandria database describes a relaxed structure of Th6C2Se3N. The functional is PBE.

Values from the calculation:
- Mass density: 10.31 Mg/m³
- D(E_F): 5.93 states/eV/f.u.

Cell lengths 17.8175, 3.8630, 8.2478 Å; angles 90.00, 108.94, 90.00 degrees
Space group C2/m (No. 12)
Asymmetric unit:
Th  0.0100  0.0000  0.2210 [4 per cell]
Th  0.1539  0.5000  0.1080 [4 per cell]
Th  0.1777  0.5000  0.5553 [4 per cell]
C  0.1650  0.0000  0.3304 [4 per cell]
Se  0.0000  0.5000  0.5000 [2 per cell]
Se  0.1682  0.0000  0.8328 [4 per cell]
N  0.0000  0.5000  0.0000 [2 per cell]


[13]
This record from the Alexandria database describes a relaxed structure of TiCSeN2. The functional is PBE.

Values from the calculation:
- Mass density: 5.16 Mg/m³
- D(E_F): 3.44 states/eV/f.u.
- Energy above the most stable polymorph in this dataset: 0.39 eV per formula unit

Cell lengths 3.6337, 3.6337, 4.0638 Å; angles 90.00, 90.00, 90.00 degrees
Space group P4/mmm (No. 123)
Asymmetric unit:
Ti  0.0000  0.0000  0.0000 [1 per cell]
C  0.5000  0.5000  0.5000 [1 per cell]
Se  0.5000  0.5000  0.0000 [1 per cell]
N  0.0000  0.5000  0.5000 [2 per cell]


[14]
This record from the Alexandria database describes a relaxed structure of TiCSeN2. The functional is PBE.

Values from the calculation:
- Mass density: 3.56 Mg/m³
- D(E_F): 5.82 states/eV/f.u.
- Energy above the most stable polymorph in this dataset: 0.00 eV per formula unit

Cell lengths 3.7550, 3.7550, 5.5174 Å; angles 90.00, 90.00, 90.00 degrees
Space group P4/mmm (No. 123)
Asymmetric unit:
Ti  0.0000  0.0000  0.0000 [1 per cell]
C  0.5000  0.5000  0.5000 [1 per cell]
Se  0.0000  0.0000  0.5000 [1 per cell]
N  0.0000  0.5000  0.0000 [2 per cell]


[15]
This record from the Alexandria database describes a relaxed structure of TlCSeN2. The functional is PBE.

Values from the calculation:
- Mass density: 4.98 Mg/m³
- D(E_F): 2.85 states/eV/f.u.
- Energy above the most stable polymorph in this dataset: 3.90 eV per formula unit

Cell lengths 4.2939, 4.2939, 5.8510 Å; angles 90.00, 90.00, 90.00 degrees
Space group P4/mmm (No. 123)
Asymmetric unit:
Tl  0.0000  0.0000  0.0000 [1 per cell]
C  0.5000  0.5000  0.5000 [1 per cell]
Se  0.0000  0.0000  0.5000 [1 per cell]
N  0.0000  0.5000  0.0000 [2 per cell]


[16]
This record from the Alexandria database describes a relaxed structure of TlCSeN2. The functional is PBE.

Values from the calculation:
- Mass density: 7.91 Mg/m³
- D(E_F): 1.58 states/eV/f.u.
- Energy above the most stable polymorph in this dataset: 0.00 eV per formula unit

Cell lengths 3.9345, 3.9345, 4.3835 Å; angles 90.00, 90.00, 90.00 degrees
Space group P4/mmm (No. 123)
Asymmetric unit:
Tl  0.0000  0.0000  0.0000 [1 per cell]
C  0.5000  0.5000  0.5000 [1 per cell]
Se  0.5000  0.5000  0.0000 [1 per cell]
N  0.0000  0.5000  0.5000 [2 per cell]


[17]
This record from the Alexandria database describes a relaxed structure of U6C3SeN2. The functional is PBE.

Values from the calculation:
- Mass density: 13.33 Mg/m³
- D(E_F): 27.89 states/eV/f.u.

Cell lengths 15.5002, 3.6099, 7.1546 Å; angles 90.00, 102.14, 90.00 degrees
Space group C2/m (No. 12)
Asymmetric unit:
U  0.0041  0.0000  0.2863 [4 per cell]
U  0.1676  0.5000  0.5774 [4 per cell]
U  0.1807  0.5000  0.0905 [4 per cell]
C  0.0000  0.5000  0.5000 [2 per cell]
C  0.1621  0.0000  0.8183 [4 per cell]
Se  0.0000  0.5000  0.0000 [2 per cell]
N  0.1727  0.0000  0.3370 [4 per cell]


[18]
This record from the Alexandria database describes a relaxed structure of VCSe2N. The functional is PBE.

Values from the calculation:
- Mass density: 4.90 Mg/m³
- D(E_F): 1.92 states/eV/f.u.
- Energy above the most stable polymorph in this dataset: 0.00 eV per formula unit

Cell lengths 5.6227, 5.6227, 2.5160 Å; angles 90.00, 90.00, 90.00 degrees
Space group P4/mmm (No. 123)
Asymmetric unit:
V  0.0000  0.0000  0.0000 [1 per cell]
C  0.5000  0.5000  0.5000 [1 per cell]
Se  0.0000  0.5000  0.5000 [2 per cell]
N  0.5000  0.5000  0.0000 [1 per cell]


[19]
This record from the Alexandria database describes a relaxed structure of VCSeN2. The functional is PBE.

Values from the calculation:
- Mass density: 3.96 Mg/m³
- D(E_F): 3.19 states/eV/f.u.
- Energy above the most stable polymorph in this dataset: 0.00 eV per formula unit

Cell lengths 3.6314, 3.6314, 5.4084 Å; angles 90.00, 90.00, 90.00 degrees
Space group P4/mmm (No. 123)
Asymmetric unit:
V  0.0000  0.0000  0.0000 [1 per cell]
C  0.5000  0.5000  0.5000 [1 per cell]
Se  0.0000  0.0000  0.5000 [1 per cell]
N  0.0000  0.5000  0.0000 [2 per cell]


[20]
This record from the Alexandria database describes a relaxed structure of VCSe2N. The functional is PBE.

Values from the calculation:
- Mass density: 4.54 Mg/m³
- D(E_F): 3.79 states/eV/f.u.
- Energy above the most stable polymorph in this dataset: 2.51 eV per formula unit

Cell lengths 4.8819, 4.8819, 3.6018 Å; angles 90.00, 90.00, 90.00 degrees
Space group P4/mmm (No. 123)
Asymmetric unit:
V  0.0000  0.0000  0.0000 [1 per cell]
C  0.5000  0.5000  0.5000 [1 per cell]
Se  0.0000  0.5000  0.0000 [2 per cell]
N  0.0000  0.0000  0.5000 [1 per cell]


Number 1: ΔE_f (raw) 3.2819 eV per atom. Number 2: ΔE_f (raw) 1.5062 eV per atom. Number 3: ΔE_f (raw) 1.8405 eV per atom. Number 4: ΔE_f (raw) -1.1172 eV per atom. Number 5: ΔE_f (raw) -1.5790 eV per atom. Number 6: ΔE_f (raw) -1.5387 eV per atom. Number 7: ΔE_f (raw) 1.6902 eV per atom. Number 8: ΔE_f (raw) 2.2733 eV per atom. Number 9: ΔE_f (raw) -0.9408 eV per atom. Number 10: ΔE_f (raw) -0.8789 eV per atom. Number 11: ΔE_f (raw) -0.9956 eV per atom. Number 12: ΔE_f (raw) -1.2333 eV per atom. Number 13: ΔE_f (raw) 1.6400 eV per atom. Number 14: ΔE_f (raw) 1.5618 eV per atom. Number 15: ΔE_f (raw) 3.0688 eV per atom. Number 16: ΔE_f (raw) 2.2888 eV per atom. Number 17: ΔE_f (raw) -0.5449 eV per atom. Number 18: ΔE_f (raw) 0.8292 eV per atom. Number 19: ΔE_f (raw) 1.4603 eV per atom. Number 20: ΔE_f (raw) 1.3306 eV per atom.